1.
# Dy4Ge2N

Dy4Ge2N after structural relaxation (GGA-PBE, Alexandria).

Geometry as extended XYZ:
```
7
Lattice="-1.248 -0.984 -4.314 -3.213 -2.880 1.586 -7.275 3.781 -1.208" Properties=species:S:1:pos:R:3 pbc="T T T"
Ge -3.623 -0.354 -1.321
Ge -8.112 0.271 -2.615
N 0.000 0.000 0.000
Dy -5.572 1.852 -1.261
Dy -6.163 -1.936 -2.675
Dy -1.606 -1.440 0.793
Dy -0.624 -0.492 -2.157
```

## Properties
- E above lowest polymorph (eV per atom) = 0.0000
- ΔE_f (raw) (meV/atom) = -980
- symmetry = I4/mmm
- calculated density (g/cm³) = 8.342

2.
# DyGeN2

DyGeN2 after structural relaxation (GGA-PBE, Alexandria).

Geometry as extended XYZ:
```
8
Lattice="-1.798 3.011 0.812 -3.260 -0.461 -5.509 -2.844 -2.931 4.572" Properties=species:S:1:pos:R:3 pbc="T T T"
Dy -4.435 -1.147 -1.577
Dy -3.467 0.765 1.452
Ge -4.381 -2.312 2.861
Ge -3.521 1.930 -2.986
N -4.981 0.968 -2.650
N -2.362 -0.231 -0.383
N -5.540 -0.151 0.258
N -2.921 -1.350 2.525
```

## Properties
- ΔE_f (raw) (meV/atom) = -682
- symmetry = P2_1/m
- calculated density (g/cm³) = 6.643

3.
# Dy3Ge5N12

Dy3Ge5N12 after structural relaxation (GGA-PBE, Alexandria).

Geometry as extended XYZ:
```
80
Lattice="10.847 0.000 0.000 -3.616 10.226 0.000 -3.616 -5.113 8.856" Properties=species:S:1:pos:R:3 pbc="T T T"
Dy 6.327 3.196 1.107
Dy 6.327 7.031 1.107
Dy -0.904 4.474 5.535
Dy 0.904 -0.639 3.321
Dy 8.135 0.000 2.214
Dy 0.904 5.113 2.214
Dy 2.712 0.000 6.642
Dy -4.519 5.113 6.642
Dy 2.712 5.752 5.535
Dy 4.519 0.639 3.321
Dy -2.712 -1.917 7.749
Dy -2.712 1.917 7.749
Ge -0.904 2.557 2.214
Ge -1.808 5.113 0.000
Ge 0.000 0.000 0.000
Ge 2.712 1.917 1.107
Ge 3.616 -2.557 4.428
Ge 3.616 5.113 0.000
Ge -2.712 5.752 3.321
Ge 4.519 -3.196 7.749
Ge 4.519 4.474 3.321
Ge 0.904 -2.557 6.642
Ge 2.712 7.670 2.214
Ge 1.808 2.557 4.428
Ge 5.423 0.000 0.000
Ge -1.808 -2.557 4.428
Ge -0.904 0.639 5.535
Ge -0.904 8.309 1.107
Ge -3.616 2.557 4.428
Ge 6.327 -0.639 5.535
Ge 0.904 3.196 7.749
Ge 4.519 2.557 6.642
N 7.122 1.073 0.214
N 0.109 3.279 3.606
N 8.129 2.401 2.624
N 4.526 1.485 1.037
N 1.362 3.722 6.018
N 7.792 5.145 1.590
N -0.897 6.029 3.661
N -2.718 8.741 1.037
N 0.446 6.504 6.018
N 4.863 5.081 1.590
N 5.532 2.908 3.391
N 5.532 9.153 0.214
N -3.170 4.516 4.642
N 2.368 3.720 0.768
N -3.724 7.319 3.391
N 1.916 -1.834 5.251
N -0.446 0.794 1.804
N 2.368 6.474 0.823
N 4.526 7.825 2.624
N -0.560 3.752 0.823
N -2.253 5.907 7.052
N 2.705 4.197 3.661
N 4.978 5.710 4.642
N 4.176 -1.393 8.089
N 0.910 0.916 5.196
N -1.362 -0.597 4.214
N -0.560 6.506 0.768
N -0.910 -2.712 6.232
N 5.869 -0.794 1.804
N 4.176 1.361 8.034
N 1.247 -1.361 8.034
N 1.699 6.947 3.606
N 4.061 4.319 7.052
N 7.340 -2.205 5.465
N 6.785 0.597 4.214
N -1.916 -4.040 8.642
N 1.247 1.393 8.089
N 3.170 -1.391 2.838
N -1.247 0.032 7.266
N -1.916 2.205 5.465
N 6.334 -3.628 7.819
N 4.513 -0.916 5.196
N -0.910 3.628 7.819
N -4.176 -0.032 7.266
N 2.253 1.391 2.838
N -4.513 2.712 6.232
N 3.507 1.834 5.251
N -3.507 4.040 8.642
```

## Properties
- ΔE_f (raw) (meV/atom) = 13
- symmetry = Ia-3d
- calculated density (g/cm³) = 6.889